w | Here is a geometry-optimized Pm8Dy2Th structure from Alexandria. Energies are from PBE.

The calculation puts the density of states at the Fermi level at 36.9 states/eV/cell. The total magnetic moment comes out at 0.001 μB per cell.

The space group is C2/m (No. 12) and the conventional cell measures 19.430, 6.960 and 5.686 Å, with angles of 90.00, 94.01 and 90.00 degrees. The distinct sites, in fractional coordinates, are Pm at (0.046, 0.000, 0.234), Pm at (0.130, 0.236, 0.728), Pm at (0.184, 0.500, 0.225), Dy at (0.217, 0.000, 0.255) and Th at (0.000, 0.500, 0.000).



x | Here is a geometry-optimized Pm8Dy2Th structure from Alexandria. Energies are from PBE.

The calculation puts the density of states at the Fermi level at 32.7 states/eV/cell. The total magnetic moment comes out at 0.000 μB per cell.

The space group is C2/m (No. 12) and the conventional cell measures 18.488, 5.126 and 8.120 Å, with angles of 90.00, 105.33 and 90.00 degrees. The distinct sites, in fractional coordinates, are Pm at (0.045, 0.000, 0.234), Pm at (0.091, 0.500, 0.952), Pm at (0.135, 0.000, 0.682), Pm at (0.180, 0.500, 0.410), Dy at (0.228, 0.000, 0.135) and Th at (0.000, 0.500, 0.500).



According to the calculations, the structures order from most to least stable as x, w.



w | Here is a geometry-optimized Pm2Dy3Th structure from Alexandria. Energies are from PBE.

The calculation puts the density of states at the Fermi level at 16.8 states/eV/cell. The total magnetic moment comes out at 0.000 μB per cell.

The space group is Pnnm (No. 58) and the conventional cell measures 6.982, 16.189 and 3.540 Å, with angles of 90.00, 90.00 and 90.00 degrees. The distinct sites, in fractional coordinates, are Pm at (0.250, 0.155, 0.000), Dy at (0.000, 0.000, 0.500), Dy at (0.246, 0.349, 0.500) and Th at (0.000, 0.500, 0.000).



x | Here is a geometry-optimized Pm2Dy3Th structure from Alexandria. Energies are from PBE.

The calculation puts the density of states at the Fermi level at 39.3 states/eV/cell. The total magnetic moment comes out at 0.000 μB per cell.

The space group is C2/c (No. 15) and the conventional cell measures 9.047, 9.833 and 9.063 Å, with angles of 90.00, 102.05 and 90.00 degrees. The distinct sites, in fractional coordinates, are Pm at (0.125, 0.250, 0.124), Dy at (0.000, 0.081, 0.750), Dy at (0.247, 0.417, 0.497) and Th at (0.000, 0.415, 0.750).



According to the calculations, the structures order from most to least stable as x, w.



w | Here is a geometry-optimized PmDy6Th structure from Alexandria. Energies are from PBE.

The calculation puts the density of states at the Fermi level at 14.6 states/eV/cell. The total magnetic moment comes out at 0.000 μB per cell.

The space group is P-1 (No. 2) and the conventional cell measures 6.550, 6.745 and 6.824 Å, with angles of 61.59, 78.69 and 89.50 degrees. The distinct sites, in fractional coordinates, are Pm at (0.000, 0.000, 0.000), Dy at (0.233, 0.574, 0.519), Dy at (0.253, 0.543, 0.004), Dy at (0.271, 0.091, 0.482) and Th at (0.500, 0.000, 0.000).



x | Here is a geometry-optimized PmDy6Th structure from Alexandria. Energies are from PBE.

The calculation puts the density of states at the Fermi level at 10.7 states/eV/cell. The total magnetic moment comes out at 0.000 μB per cell.

The space group is P4/mmm (No. 123) and the conventional cell measures 5.036, 5.036 and 10.047 Å, with angles of 90.00, 90.00 and 90.00 degrees. The distinct sites, in fractional coordinates, are Pm at (0.000, 0.000, 0.000), Dy at (0.000, 0.500, 0.254), Dy at (0.500, 0.500, 0.000), Dy at (0.500, 0.500, 0.500) and Th at (0.000, 0.000, 0.500).



According to the calculations, the structures order from most to least stable as x, w.